Entry 1:
A plane-wave DFT calculation with PBE was carried out for an optimized crystal structure of PbBrO2F.

Results
**Energy relative to the elements, uncorrected**: -0.2471 eV per atom

POSCAR file:
```
PbBrO2F
1.0
-3.600 -1.797 -0.362
0.545 -0.287 -3.993
2.543 -5.242 0.724
Pb O Br F
1 2 1 1
Cartesian
-0.256 -3.663 -1.815 Pb
0.272 -0.144 -1.996 O
-1.800 -0.898 -0.181 O
0.000 0.000 0.000 Br
1.272 -2.621 0.362 F
```

Entry 2:
A plane-wave DFT calculation with PBE was carried out for an optimized crystal structure of Ti2Sb2Br.

Results
**Energy relative to the elements, uncorrected**: -0.3902 eV per atom

POSCAR file:
```
Ti2Sb2Br
1.0
7.757 0.000 0.000
0.000 7.757 0.000
0.000 0.000 3.608
Sb Br Ti
4 2 4
Cartesian
1.112 4.991 1.804 Sb
4.991 6.645 1.804 Sb
6.645 2.767 1.804 Sb
2.767 1.112 1.804 Sb
0.000 0.000 0.000 Br
3.879 3.879 0.000 Br
2.755 6.634 0.000 Ti
6.634 5.002 0.000 Ti
5.002 1.124 0.000 Ti
1.124 2.755 0.000 Ti
```

Entry 3:
A plane-wave DFT calculation with PBE was carried out for an optimized crystal structure of TbPm5Sm4.

Results
**Energy of formation**: 2.40 eV per formula unit

POSCAR file:
```
TbPm5Sm4
1.0
6.171 0.000 0.000
3.085 7.491 0.000
3.085 0.000 7.491
Tb Pm Sm
1 5 4
Cartesian
1.374 0.000 0.000 Tb
9.009 2.831 7.490 Pm
5.923 7.490 4.660 Pm
5.923 0.002 2.831 Pm
2.838 4.660 0.002 Pm
4.246 0.000 0.000 Pm
5.800 2.434 5.059 Sm
8.886 5.059 5.058 Sm
2.715 2.432 2.434 Sm
5.800 5.058 2.432 Sm
```

Fermi-level density of states / states/eV/f.u.: 2.3 3.1 14.9